This record from Alexandria via LeMat-Bulk describes a geometry-optimized MnFeTe2O6 structure. The functional is PBE with a Hubbard U.

Cell: 12.911 8.392 5.800 Å, 90.00 112.26 90.00°
Space group C2/c (No. 15)
One atom of each set of equivalent atoms:
Mn  0.000  0.110  0.250 x4
Fe  0.000  0.268  0.750 x4
Te  0.238  0.363  0.260 x8
O  0.077  0.301  0.113 x8
O  0.099  0.080  0.667 x8
O  0.203  0.431  0.895 x8

DOS(E_F): 0.004 states/eV per atom
uncorrected energy: -240.945 eV for the cell shown
spin magnetization: 36.01 Bohr magnetons per cell